Ca3Er2NpP6 PBE-GGA optimized geometry; calculated formation energy = -1.21 eV/atom; V = 278.7 Å³/f.u.; DOS at the Fermi energy = 1.7 states/eV/cell
1.0
-0.402 4.749 -5.063
-5.793 -2.258 3.114
2.599 4.028 5.165
Ca Er Np P
3 2 1 6
Direct
0.169 0.831 0.500
0.831 0.169 0.500
0.500 0.500 0.500
0.334 0.666 0.000
0.666 0.334 0.000
0.000 0.000 0.000
0.924 0.605 0.772
0.758 0.758 0.226
0.076 0.395 0.228
0.605 0.924 0.772
0.242 0.242 0.774
0.395 0.076 0.228


CaEr2NpP4 PBE-GGA optimized geometry; calculated formation energy = -1.27 eV/atom; V = 180.0 Å³/f.u.; DOS at the Fermi energy = 9.4 states/eV/cell
1.0
-1.275 1.004 -3.648
-6.536 -0.230 2.220
2.455 6.390 0.901
Ca Er Np P
1 2 1 4
Direct
0.500 0.500 0.000
0.500 0.000 0.500
0.000 0.500 0.500
0.000 0.000 0.000
0.500 0.243 0.250
0.500 0.757 0.750
0.000 0.236 0.748
0.000 0.764 0.252


Ca2ErNpS4 PBE-GGA optimized geometry; V = 176.1 Å³/f.u.; DOS at the Fermi energy = 11.6 states/eV/cell; formation energy without anion corrections = -1.843 eV per atom
1.0
-2.843 2.208 -1.607
-0.653 -4.532 -5.073
-4.267 -1.727 5.177
Ca Er Np S
2 1 1 4
Direct
0.500 0.000 0.500
0.000 0.500 0.500
0.500 0.500 0.000
0.000 0.000 0.000
0.500 0.252 0.245
0.500 0.748 0.755
0.000 0.257 0.757
0.000 0.743 0.243


Ca2ErNpSb4 PBE-GGA optimized geometry; V = 249.4 Å³/f.u.; DOS at the Fermi energy = 9.6 states/eV/cell; formation energy without anion corrections = -0.737 eV per atom
1.0
-1.214 3.596 -2.367
-3.592 -4.516 -5.019
-4.909 2.042 5.621
Ca Er Np Sb
2 1 1 4
Direct
0.500 0.000 0.500
0.000 0.500 0.500
0.500 0.500 0.000
0.000 0.000 0.000
0.500 0.242 0.233
0.500 0.758 0.767
0.000 0.252 0.766
0.000 0.748 0.234